Here is crystalline Er8Ge3SbTe4 at its relaxed geometry from Alexandria. Energies are from PBE.

Cell lengths 8.4962, 8.4962, 21.1282 Å; angles 90.00, 90.00, 120.00 degrees
Space group R-3m (No. 166, hexagonal axes)
One atom of each set of equivalent atoms:
Er: 0.0000 0.0000 0.2395 (multiplicity 6)
Er: 0.0124 0.5062 0.7590 (multiplicity 18)
Ge: 0.0000 0.5000 0.5000 (multiplicity 9)
Sb: 0.0000 0.0000 0.5000 (multiplicity 3)
Te: 0.0000 0.0000 0.0000 (multiplicity 3)
Te: 0.0000 0.5000 0.0000 (multiplicity 9)

Calculated values
**Spin magnetization**: 0.000 μB/atom
**Final energy**: -5.3731 eV/atom
**Raw formation energy**: -1183 meV per atom



Here is crystalline BaHfPb3 at its relaxed geometry from Alexandria. Energies are from PBE.

Cell lengths 5.679, 5.679, 5.679 Å; angles 90.00, 90.00, 90.00 degrees
Space group Pm-3m (No. 221)
One atom of each set of equivalent atoms:
Ba: 0.000 0.000 0.000 (multiplicity 1)
Hf: 0.500 0.500 0.500 (multiplicity 1)
Pb: 0.000 0.500 0.500 (multiplicity 3)

Calculated values
**Spin magnetization**: 0.000 μB/atom
**Final energy**: -4.7434 eV/atom
**Formation energy**: -69.1 kJ/mol of formula units



final energy of number 1 (Er8Ge3SbTe4)? -5.3731 eV/atom



Please write out number 2 again, unchanged.
Here is crystalline BaHfPb3 at its relaxed geometry from Alexandria. Energies are from PBE.

Cell lengths 5.679, 5.679, 5.679 Å; angles 90.00, 90.00, 90.00 degrees
Space group Pm-3m (No. 221)
One atom of each set of equivalent atoms:
Ba: 0.000 0.000 0.000 (multiplicity 1)
Hf: 0.500 0.500 0.500 (multiplicity 1)
Pb: 0.000 0.500 0.500 (multiplicity 3)

Calculated values
**Spin magnetization**: 0.000 μB/atom
**Final energy**: -4.7434 eV/atom
**Formation energy**: -69.1 kJ/mol of formula units